--- one ---
BeSi2Bi after structural relaxation, computed with PBE.

Cell: 5.397 5.397 12.335 Å, 90.00 90.00 90.00°
Fractional positions:
Be1 0.000 0.000 0.000
Be2 0.000 0.500 0.250
Be3 0.500 0.000 0.750
Be4 0.500 0.500 0.500
Si1 0.157 0.250 0.125
Si2 0.250 0.657 0.375
Si3 0.250 0.843 0.875
Si4 0.343 0.250 0.625
Si5 0.657 0.750 0.625
Si6 0.750 0.157 0.875
Si7 0.750 0.343 0.375
Si8 0.843 0.750 0.125
Bi1 0.000 0.000 0.500
Bi2 0.000 0.500 0.750
Bi3 0.500 0.000 0.250
Bi4 0.500 0.500 0.000

Results
- Space-group type: No. 122
- Total magnetic moment: 0.00 Bohr magnetons per cell
- N(E_F): 1.7 states/eV/f.u.

--- two ---
BeSi2Bi after structural relaxation, computed with PBE.

Cell: 6.750 6.750 6.750 Å, 90.00 90.00 90.00°
Fractional positions:
Be1 0.000 0.000 0.000
Be2 0.000 0.500 0.500
Be3 0.500 0.000 0.500
Be4 0.500 0.500 0.000
Si1 0.250 0.250 0.250
Si2 0.250 0.250 0.750
Si3 0.250 0.750 0.250
Si4 0.250 0.750 0.750
Si5 0.750 0.250 0.250
Si6 0.750 0.250 0.750
Si7 0.750 0.750 0.250
Si8 0.750 0.750 0.750
Bi1 0.000 0.000 0.500
Bi2 0.000 0.500 0.000
Bi3 0.500 0.000 0.000
Bi4 0.500 0.500 0.500

Results
- Space-group type: No. 225
- Total magnetic moment: 0.00 Bohr magnetons per cell
- N(E_F): 2.0 states/eV/f.u.

Q: Which of them is the most stable? A: one.